# 1
# GaCu4 | the Alexandria database | GGA-PBE | optimized geometry
# Total moment   0.000 μB per cell
# ρ   8.51 g cm⁻³
# Volume   63.2 Å³/f.u.
# E_form   -0.05 eV/atom
# Relative energy among the computed polymorphs   0.00 eV per formula unit
# Fermi-level density of states   5.290 states/eV per cell
data_GaCu4
_chemical_formula_sum 'Ga4 Cu16'
_cell_length_a 3.993
_cell_length_b 5.057
_cell_length_c 12.517
_cell_angle_alpha 90.00
_cell_angle_beta 90.00
_cell_angle_gamma 90.00
_space_group_name_H-M_alt 'I m m a'
_space_group_IT_number 74
_space_group_name_Hall '-I 2b 2'
loop_
_atom_site_label
_atom_site_type_symbol
_atom_site_fract_x
_atom_site_fract_y
_atom_site_fract_z
Ga1 Ga 0.000 0.250 0.109
Cu1 Cu 0.000 0.000 0.500
Cu2 Cu 0.000 0.005 0.696
Cu3 Cu 0.000 0.250 0.894


# 2
# GaCu4 | the Alexandria database | GGA-PBE | optimized geometry
# Total moment   0.000 μB per cell
# ρ   8.39 g cm⁻³
# Volume   64.1 Å³/f.u.
# E_form   0.05 eV/atom
# Relative energy among the computed polymorphs   0.50 eV per formula unit
# Fermi-level density of states   5.518 states/eV per cell
data_GaCu4
_chemical_formula_sum 'Ga3 Cu12'
_cell_length_a 2.6926
_cell_length_b 2.6926
_cell_length_c 30.6418
_cell_angle_alpha 90.00
_cell_angle_beta 90.00
_cell_angle_gamma 120.00
_space_group_name_H-M_alt 'R -3 m'
_space_group_IT_number 166
_space_group_name_Hall '-R 3 2"'
loop_
_atom_site_label
_atom_site_type_symbol
_atom_site_fract_x
_atom_site_fract_y
_atom_site_fract_z
Ga1 Ga 0.0000 0.0000 0.0000
Cu1 Cu 0.0000 0.0000 0.1994
Cu2 Cu 0.0000 0.0000 0.4018


# 3
# Ga3Cu8 | the Alexandria database | GGA-PBE | optimized geometry
# Total moment   0.000 μB per cell
# ρ   7.08 g cm⁻³
# Volume   168.2 Å³/f.u.
# E_form   0.24 eV/atom
# Relative energy among the computed polymorphs   3.75 eV per formula unit
# Fermi-level density of states   9.322 states/eV per cell
data_Ga3Cu8
_chemical_formula_sum 'Ga9 Cu24'
_cell_length_a 8.2361
_cell_length_b 8.2361
_cell_length_c 8.5909
_cell_angle_alpha 90.00
_cell_angle_beta 90.00
_cell_angle_gamma 120.00
_space_group_name_H-M_alt 'R -3'
_space_group_IT_number 148
_space_group_name_Hall '-R 3'
loop_
_atom_site_label
_atom_site_type_symbol
_atom_site_fract_x
_atom_site_fract_y
_atom_site_fract_z
Ga1 Ga 0.0000 0.5000 0.0000
Cu1 Cu 0.0000 0.0000 0.3571
Cu2 Cu 0.0348 0.8382 0.8870


# 4
# GdGaCu | the Alexandria database | GGA-PBE | optimized geometry
# Total moment   29.887 μB per cell
# ρ   7.48 g cm⁻³
# Volume   64.5 Å³/f.u.
# E_form   -0.33 eV/atom
# Fermi-level density of states   14.559 states/eV per cell
data_GdGaCu
_chemical_formula_sum 'Gd4 Ga4 Cu4'
_cell_length_a 6.366
_cell_length_b 6.366
_cell_length_c 6.366
_cell_angle_alpha 90.00
_cell_angle_beta 90.00
_cell_angle_gamma 90.00
_space_group_name_H-M_alt 'F -4 3 m'
_space_group_IT_number 216
_space_group_name_Hall 'F -4 2 3'
loop_
_atom_site_label
_atom_site_type_symbol
_atom_site_fract_x
_atom_site_fract_y
_atom_site_fract_z
Gd1 Gd 0.000 0.000 0.000
Ga1 Ga 0.000 0.000 0.500
Cu1 Cu 0.250 0.250 0.250


# 5
# GdGaCu | the Alexandria database | GGA-PBE | optimized geometry
# Total moment   14.768 μB per cell
# ρ   8.36 g cm⁻³
# Volume   57.7 Å³/f.u.
# E_form   -0.27 eV/atom
# Fermi-level density of states   4.950 states/eV per cell
data_GdGaCu
_chemical_formula_sum 'Gd2 Ga2 Cu2'
_cell_length_a 3.269
_cell_length_b 3.269
_cell_length_c 10.807
_cell_angle_alpha 90.00
_cell_angle_beta 90.00
_cell_angle_gamma 90.00
_space_group_name_H-M_alt 'I 4 m m'
_space_group_IT_number 107
_space_group_name_Hall 'I 4 -2'
loop_
_atom_site_label
_atom_site_type_symbol
_atom_site_fract_x
_atom_site_fract_y
_atom_site_fract_z
Gd1 Gd 0.000 0.000 0.000
Ga1 Ga 0.000 0.000 0.698
Cu1 Cu 0.000 0.000 0.311


# 6
# GdGaCu | the Alexandria database | GGA-PBE | optimized geometry
# Total moment   7.366 μB per cell
# ρ   8.03 g cm⁻³
# Volume   60.0 Å³/f.u.
# E_form   -0.49 eV/atom
# Fermi-level density of states   2.979 states/eV per cell
data_GdGaCu
_chemical_formula_sum 'Gd1 Ga1 Cu1'
_cell_length_a 4.3844
_cell_length_b 4.3844
_cell_length_c 3.6069
_cell_angle_alpha 90.00
_cell_angle_beta 90.00
_cell_angle_gamma 120.00
_space_group_name_H-M_alt 'P -6 m 2'
_space_group_IT_number 187
_space_group_name_Hall 'P -6 2'
loop_
_atom_site_label
_atom_site_type_symbol
_atom_site_fract_x
_atom_site_fract_y
_atom_site_fract_z
Gd1 Gd 0.0000 0.0000 0.0000
Ga1 Ga 0.6667 0.3333 0.5000
Cu1 Cu 0.3333 0.6667 0.5000